1.
ReAsH3 after structural relaxation. Source: Alexandria, functional GGA-PBE.

Total magnetic moment   0.0 Bohr magnetons per cell
Offset from the most stable computed form   482 meV/atom

Structure (CIF):
```
data_ReAsH3
_chemical_formula_sum 'Re1 As1 H3'
_symmetry_space_group_name_H-M 'P m -3 m'
_symmetry_Int_Tables_number 221
_symmetry_space_group_name_Hall '-P 4 2 3'
_cell_length_a 3.5559
_cell_length_b 3.5559
_cell_length_c 3.5559
_cell_angle_alpha 90.00
_cell_angle_beta 90.00
_cell_angle_gamma 90.00
loop_
_atom_site_label
_atom_site_type_symbol
_atom_site_fract_x
_atom_site_fract_y
_atom_site_fract_z
Re1 Re 0.0000 0.0000 0.0000
As1 As 0.5000 0.5000 0.5000
H1 H 0.0000 0.0000 0.5000
```

---

2.
Tb3ErIr3 after structural relaxation. Source: Alexandria, functional GGA-PBE.

Total magnetic moment   0.0 Bohr magnetons per cell
Offset from the most stable computed form   19 meV/atom
DFT formation energy   -0.70 eV/atom

Structure (CIF):
```
data_Tb3ErIr3
_chemical_formula_sum 'Tb12 Er4 Ir12'
_symmetry_space_group_name_H-M 'C 1 2/m 1'
_symmetry_Int_Tables_number 12
_cell_length_a 9.9681
_cell_length_b 9.8193
_cell_length_c 6.6097
_cell_angle_alpha 90.00
_cell_angle_beta 90.03
_cell_angle_gamma 90.00
loop_
_symmetry_equiv_pos_as_xyz
'x,y,z'
'-x,-y,-z'
'-x,y,-z'
'x,-y,z'
'x+1/2,y+1/2,z'
'-x+1/2,-y+1/2,-z'
'-x+1/2,y+1/2,-z'
'x+1/2,-y+1/2,z'
loop_
_atom_site_label
_atom_site_type_symbol
_atom_site_fract_x
_atom_site_fract_y
_atom_site_fract_z
Tb1 Tb 0.0000 0.2458 0.0000
Tb2 Tb 0.0000 0.2519 0.5000
Tb3 Tb 0.2452 0.0000 0.0004
Er1 Er 0.2375 0.0000 0.5004
Ir1 Ir 0.0000 0.0000 0.2503
Ir2 Ir 0.2500 0.2500 0.2525
```

---

3.
CsNb2BBr after structural relaxation. Source: Alexandria, functional GGA-PBE.

Total magnetic moment   1.5 Bohr magnetons per cell
Uncorrected formation energy   10.3 eV/f.u.

Structure (CIF):
```
data_CsNb2BBr
_chemical_formula_sum 'Cs1 Nb2 B1 Br1'
_symmetry_space_group_name_H-M 'P 4/m m m'
_symmetry_Int_Tables_number 123
_symmetry_space_group_name_Hall '-P 4 2'
_cell_length_a 4.8743
_cell_length_b 4.8743
_cell_length_c 6.6263
_cell_angle_alpha 90.00
_cell_angle_beta 90.00
_cell_angle_gamma 90.00
loop_
_atom_site_label
_atom_site_type_symbol
_atom_site_fract_x
_atom_site_fract_y
_atom_site_fract_z
Cs1 Cs 0.0000 0.0000 0.0000
Nb1 Nb 0.0000 0.5000 0.5000
B1 B 0.5000 0.5000 0.0000
Br1 Br 0.0000 0.0000 0.5000
```

---

4.
GaCoCu3 after structural relaxation. Source: Alexandria, functional GGA-PBE.

Total magnetic moment   1.9 Bohr magnetons per cell
Offset from the most stable computed form   88 meV/atom
DFT formation energy   0.98 eV/atom

Structure (CIF):
```
data_GaCoCu3
_chemical_formula_sum 'Ga1 Co1 Cu3'
_symmetry_space_group_name_H-M 'P m -3 m'
_symmetry_Int_Tables_number 221
_symmetry_space_group_name_Hall '-P 4 2 3'
_cell_length_a 4.4028
_cell_length_b 4.4028
_cell_length_c 4.4028
_cell_angle_alpha 90.00
_cell_angle_beta 90.00
_cell_angle_gamma 90.00
loop_
_atom_site_label
_atom_site_type_symbol
_atom_site_fract_x
_atom_site_fract_y
_atom_site_fract_z
Ga1 Ga 0.0000 0.0000 0.0000
Co1 Co 0.5000 0.5000 0.5000
Cu1 Cu 0.0000 0.0000 0.5000
```

---

5.
PuHf6Zr after structural relaxation. Source: Alexandria, functional GGA-PBE.

Total magnetic moment   10.9 Bohr magnetons per cell
DFT formation energy   0.12 eV/atom

Structure (CIF):
```
data_PuHf6Zr
_chemical_formula_sum 'Pu2 Hf12 Zr2'
_symmetry_space_group_name_H-M 'A m m 2'
_symmetry_Int_Tables_number 38
_cell_length_a 5.2419
_cell_length_b 10.5572
_cell_length_c 6.4620
_cell_angle_alpha 90.00
_cell_angle_beta 90.00
_cell_angle_gamma 90.00
loop_
_symmetry_equiv_pos_as_xyz
'x,y,z'
'-x,-y,z'
'-x,y,z'
'x,-y,z'
'x,y+1/2,z+1/2'
'-x,-y+1/2,z+1/2'
'-x,y+1/2,z+1/2'
'x,-y+1/2,z+1/2'
loop_
_atom_site_label
_atom_site_type_symbol
_atom_site_fract_x
_atom_site_fract_y
_atom_site_fract_z
Pu1 Pu 0.0000 0.0000 0.0000
Hf1 Hf 0.0000 0.0000 0.5066
Hf2 Hf 0.0000 0.2460 0.2525
Hf3 Hf 0.5000 0.0000 0.2450
Hf4 Hf 0.5000 0.2419 0.5042
Zr1 Zr 0.5000 0.0000 0.7669
```

---

6.
TbPrDyAl after structural relaxation. Source: Alexandria, functional GGA-PBE.

Total magnetic moment   0.0 Bohr magnetons per cell
Offset from the most stable computed form   0 meV/atom
DFT formation energy   -0.19 eV/atom

Structure (CIF):
```
data_TbPrDyAl
_chemical_formula_sum 'Tb1 Pr1 Dy1 Al1'
_symmetry_space_group_name_H-M 'P 4 m m'
_symmetry_Int_Tables_number 99
_cell_length_a 3.5522
_cell_length_b 3.5522
_cell_length_c 9.1542
_cell_angle_alpha 90.00
_cell_angle_beta 90.00
_cell_angle_gamma 90.00
loop_
_symmetry_equiv_pos_as_xyz
'x,y,z'
'-y,x,z'
'-x,-y,z'
'y,-x,z'
'-x,y,z'
'y,x,z'
'x,-y,z'
'-y,-x,z'
loop_
_atom_site_label
_atom_site_type_symbol
_atom_site_fract_x
_atom_site_fract_y
_atom_site_fract_z
Tb1 Tb 0.0000 0.0000 0.0000
Pr1 Pr 0.5000 0.5000 0.2932
Dy1 Dy 0.0000 0.0000 0.5839
Al1 Al 0.5000 0.5000 0.7909
```

---

7.
NdSm2Sn after structural relaxation. Source: Alexandria, functional GGA-PBE.

Total magnetic moment   0.0 Bohr magnetons per cell
Offset from the most stable computed form   110 meV/atom
DFT formation energy   -0.34 eV/atom

Structure (CIF):
```
data_NdSm2Sn
_chemical_formula_sum 'Nd2 Sm4 Sn2'
_symmetry_space_group_name_H-M 'P -1'
_symmetry_Int_Tables_number 2
_cell_length_a 3.6106
_cell_length_b 6.5278
_cell_length_c 11.3656
_cell_angle_alpha 95.91
_cell_angle_beta 99.08
_cell_angle_gamma 106.04
loop_
_symmetry_equiv_pos_as_xyz
'x,y,z'
'-x,-y,-z'
loop_
_atom_site_label
_atom_site_type_symbol
_atom_site_fract_x
_atom_site_fract_y
_atom_site_fract_z
Nd1 Nd 0.0302 0.4058 0.1548
Sm1 Sm 0.1837 0.2836 0.5871
Sm2 Sm 0.2547 0.1231 0.8836
Sn1 Sn 0.4979 0.8395 0.6548
```

---

8.
CaBeZnHS after structural relaxation. Source: Alexandria, functional GGA-PBE.

Total magnetic moment   0.0 Bohr magnetons per cell
Offset from the most stable computed form   79 meV/atom

Structure (CIF):
```
data_CaBeZnHS
_chemical_formula_sum 'Ca1 Be1 Zn1 H1 S1'
_symmetry_space_group_name_H-M 'P 1'
_symmetry_Int_Tables_number 1
_cell_length_a 3.7998
_cell_length_b 4.1640
_cell_length_c 5.9450
_cell_angle_alpha 109.17
_cell_angle_beta 108.18
_cell_angle_gamma 92.36
loop_
_symmetry_equiv_pos_as_xyz
'x,y,z'
loop_
_atom_site_label
_atom_site_type_symbol
_atom_site_fract_x
_atom_site_fract_y
_atom_site_fract_z
Ca1 Ca 0.0000 0.0000 0.0000
Be1 Be 0.2814 0.4308 0.5673
Zn1 Zn 0.7307 0.6731 0.4218
H1 H 0.0969 0.0873 0.4017
S1 S 0.4732 0.4737 0.9453
```

---

9.
Hg4P2O7 after structural relaxation. Source: Alexandria, functional GGA-PBE.

Total magnetic moment   0.0 Bohr magnetons per cell
Uncorrected formation energy   -17.6 eV/f.u.

Structure (CIF):
```
data_Hg4P2O7
_chemical_formula_sum 'Hg8 P4 O14'
_symmetry_space_group_name_H-M 'P 1 2/c 1'
_symmetry_Int_Tables_number 13
_cell_length_a 9.5417
_cell_length_b 5.0468
_cell_length_c 12.4168
_cell_angle_alpha 90.00
_cell_angle_beta 129.93
_cell_angle_gamma 90.00
loop_
_symmetry_equiv_pos_as_xyz
'x,y,z'
'-x,-y,-z'
'-x,y,-z+1/2'
'x,-y,z+1/2'
loop_
_atom_site_label
_atom_site_type_symbol
_atom_site_fract_x
_atom_site_fract_y
_atom_site_fract_z
Hg1 Hg 0.0576 0.0635 0.3778
Hg2 Hg 0.4269 0.1785 0.9032
P1 P 0.2958 0.3976 0.1456
O1 O 0.1668 0.1556 0.0791
O2 O 0.2625 0.4634 0.7381
O3 O 0.2898 0.4263 0.5431
O4 O 0.5000 0.2619 0.2500
```

---

10.
RbNiRh2W after structural relaxation. Source: Alexandria, functional GGA-PBE.

Total magnetic moment   3.0 Bohr magnetons per cell
DFT formation energy   2.77 eV/atom

Structure (CIF):
```
data_RbNiRh2W
_chemical_formula_sum 'Rb1 Ni1 Rh2 W1'
_symmetry_space_group_name_H-M 'P 4/m m m'
_symmetry_Int_Tables_number 123
_symmetry_space_group_name_Hall '-P 4 2'
_cell_length_a 4.7631
_cell_length_b 4.7631
_cell_length_c 4.4246
_cell_angle_alpha 90.00
_cell_angle_beta 90.00
_cell_angle_gamma 90.00
loop_
_atom_site_label
_atom_site_type_symbol
_atom_site_fract_x
_atom_site_fract_y
_atom_site_fract_z
Rb1 Rb 0.0000 0.0000 0.0000
Ni1 Ni 0.0000 0.0000 0.5000
Rh1 Rh 0.0000 0.5000 0.0000
W1 W 0.5000 0.5000 0.5000
```